No. 1
Density functional theory data (PBE-GGA) for a relaxed structure of HfSc3.

Lattice parameters (Å, degrees): 10.2078 3.0943 6.1261 90.00 90.87 90.00
With the nearest neighbours (Å) after each atom.
Space group C2/m (No. 12)
Asymmetric unit:
Hf: 0.0000 0.0000 0.0000  8 Sc 3.06-3.17, 2 Hf 3.09
Sc: 0.0000 0.0000 0.5000  2 Hf 3.06, 8 Sc 3.09-3.28
Sc: 0.2328 0.5000 0.2358  7 Sc 3.09-3.30, 3 Hf 3.11-3.17

Properties
offset from the most stable computed form	0.2108	eV/atom
calculated volume	24.2	Å³/atom
density of states at the Fermi level	14.1	states/eV per cell
total moment	0.0	Bohr magnetons per cell
density	5.38	g/cm³
ΔE_f	0.22	eV/atom
final energy	-7.014	eV/atom


No. 2
Density functional theory data (PBE-GGA) for a relaxed structure of HfSc.

Lattice parameters (Å, degrees): 6.5697 6.5697 6.5697 90.00 90.00 90.00
With the nearest neighbours (Å) after each atom.
Space group F-43m (No. 216)
Asymmetric unit:
Hf: 0.0000 0.0000 0.0000  4 Sc 2.84
Sc: 0.2500 0.2500 0.2500  4 Hf 2.84

Properties
calculated volume	35.4	Å³/atom
density of states at the Fermi level	20.4	states/eV per cell
total moment	8.6	Bohr magnetons per cell
density	5.23	g/cm³
ΔE_f	2.48	eV/atom
final energy	-5.665	eV/atom


No. 3
Density functional theory data (PBE-GGA) for a relaxed structure of HfSc8.

Lattice parameters (Å, degrees): 9.7510 9.7510 4.5660 90.00 90.00 90.00
With the nearest neighbours (Å) after each atom.
Space group I4/mmm (No. 139)
Asymmetric unit:
Hf: 0.0000 0.0000 0.0000  12 Sc 3.19-3.20
Sc: 0.0000 0.3280 0.0000  1 Hf 3.20, 11 Sc 3.21-3.35
Sc: 0.1615 0.1615 0.5000  10 Sc 3.15-3.34, 2 Hf 3.19

Properties
offset from the most stable computed form	0.0000	eV/atom
calculated volume	24.1	Å³/atom
density of states at the Fermi level	30.2	states/eV per cell
total moment	0.0	Bohr magnetons per cell
density	4.12	g/cm³
ΔE_f	0.05	eV/atom
final energy	-6.686	eV/atom


No. 4
Density functional theory data (PBE-GGA) for a relaxed structure of HfSc3.

Lattice parameters (Å, degrees): 3.2557 10.2043 5.6966 90.00 90.00 90.00
With the nearest neighbours (Å) after each atom.
Space group Imm2 (No. 44)
Asymmetric unit:
Hf: 0.0000 0.0000 0.0000  10 Sc 3.15-3.31, 2 Hf 3.26
Sc: 0.0000 0.2521 0.3359  3 Hf 3.15-3.21, 9 Sc 3.15-3.28
Sc: 0.0000 0.5000 0.0057  8 Sc 3.15-3.26, 4 Hf 3.25-3.31

Properties
offset from the most stable computed form	0.0000	eV/atom
calculated volume	23.7	Å³/atom
density of states at the Fermi level	14.7	states/eV per cell
total moment	0.0	Bohr magnetons per cell
density	5.50	g/cm³
ΔE_f	0.01	eV/atom
final energy	-7.225	eV/atom


No. 5
Density functional theory data (PBE-GGA) for a relaxed structure of HfSc.

Lattice parameters (Å, degrees): 5.8521 5.8521 5.8521 90.00 90.00 90.00
With the nearest neighbours (Å) after each atom.
Space group Fm-3m (No. 225)
Asymmetric unit:
Hf: 0.0000 0.0000 0.0000  6 Sc 2.93
Sc: 0.0000 0.0000 0.5000  6 Hf 2.93

Properties
calculated volume	25.1	Å³/atom
density of states at the Fermi level	19.1	states/eV per cell
total moment	0.1	Bohr magnetons per cell
density	7.41	g/cm³
ΔE_f	1.07	eV/atom
final energy	-7.070	eV/atom


No. 6
Density functional theory data (PBE-GGA) for a relaxed structure of Hf4Sc5.

Lattice parameters (Å, degrees): 11.4124 11.4124 3.2168 90.00 90.00 90.00
With the nearest neighbours (Å) after each atom.
Space group I4/mmm (No. 139)
Asymmetric unit:
Hf: 0.1712 0.1712 0.0000  4 Hf 3.01-3.22, 6 Sc 3.10-3.20
Sc: 0.0000 0.0000 0.5000  8 Hf 3.20, 2 Sc 3.22
Sc: 0.0000 0.3275 0.5000  4 Hf 3.10, 6 Sc 3.22

Properties
calculated volume	23.3	Å³/atom
density of states at the Fermi level	28.7	states/eV per cell
total moment	0.0	Bohr magnetons per cell
density	7.44	g/cm³
ΔE_f	0.16	eV/atom
final energy	-7.779	eV/atom


No. 7
Density functional theory data (PBE-GGA) for a relaxed structure of Hf3Sc2.

Lattice parameters (Å, degrees): 10.5974 27.8945 3.0939 90.00 90.00 90.00
With the nearest neighbours (Å) after each atom.
Space group Fdd2 (No. 43)
Asymmetric unit:
Hf: 0.0000 0.0000 0.0000  6 Hf 3.09-3.20, 6 Sc 3.13-3.36
Hf: 0.0350 0.4025 0.0329  4 Sc 3.04-3.36, 6 Hf 3.09-3.20
Sc: 0.0172 0.3007 0.6737  7 Hf 3.04-3.36, 4 Sc 3.09-3.24

Properties
offset from the most stable computed form	0.0000	eV/atom
calculated volume	22.9	Å³/atom
density of states at the Fermi level	70.3	states/eV per cell
total moment	0.0	Bohr magnetons per cell
density	9.08	g/cm³
ΔE_f	0.14	eV/atom
final energy	-8.360	eV/atom


No. 8
Density functional theory data (PBE-GGA) for a relaxed structure of Hf3Sc8.

Lattice parameters (Å, degrees): 8.9798 8.9798 12.0049 90.00 90.00 120.00
With the nearest neighbours (Å) after each atom.
Space group R-3 (No. 148, hexagonal axes)
Asymmetric unit:
Hf: 0.0000 0.5000 0.0000  6 Sc 2.65-2.93
Sc: 0.0000 0.0000 0.3777  3 Hf 2.65, 1 Sc 2.94
Sc: 0.0340 0.2280 0.1119  2 Hf 2.87-2.93

Properties
calculated volume	25.4	Å³/atom
density of states at the Fermi level	49.4	states/eV per cell
total moment	15.7	Bohr magnetons per cell
density	5.32	g/cm³
ΔE_f	0.70	eV/atom
final energy	-6.623	eV/atom